The following is a DFT calculation (PBE+U) of an optimized crystal structure of BaSrCr2F8.

Calculated values
As for the total magnetization: 0.667 μB per atom. For the total energy, the calculation gives -69.4 eV per cell. The volume comes out at 22.7 Å³/atom.

Cell: 6.4203 6.4203 7.6420 Å, 90.00 90.00 120.00°
Last column: nearest neighbours and their distance in Å.
Fractional coordinates of all 12 atoms:
Ba  0.0000  0.0000  0.0000  6 F 2.71
Sr  0.0000  0.0000  0.5000  6 F 2.42
Cr  0.3333  0.6667  0.2045  4 F 1.90-2.07
Cr  0.6667  0.3333  0.7955  4 F 1.90-2.07
F  0.1536  0.3072  0.2752  1 Cr 2.07
F  0.1536  0.8464  0.2752  1 Cr 2.07
F  0.3072  0.1536  0.7248  1 Cr 2.07
F  0.3333  0.6667  0.9554  1 Cr 1.90
F  0.6667  0.3333  0.0446  1 Cr 1.90
F  0.6928  0.8464  0.2752  1 Cr 2.07
F  0.8464  0.1536  0.7248  1 Cr 2.07
F  0.8464  0.6928  0.7248  1 Cr 2.07